(1)
Here is a relaxed structure of Na3Pd2WSe6 from Alexandria. Energies are from GGA-PBE.

a = 6.755 Å, b = 6.755 Å, c = 7.070 Å
α = 99.16°, β = 99.16°, γ = 120.08°
Last column: magnetic moment on the atom in μB.
Sites, in units of the cell vectors:
Se 0.067 0.394 0.199  -0.02
Se 0.394 0.067 0.199  -0.02
Se 0.933 0.606 0.801  -0.02
Se 0.741 0.741 0.200  -0.02
Se 0.259 0.259 0.800  -0.02
Se 0.606 0.933 0.801  -0.02
Na 0.171 0.829 0.500  0.00
Na 0.500 0.500 0.500  0.00
Na 0.829 0.171 0.500  0.00
Pd 0.666 0.334 0.000  -0.06
Pd 0.334 0.666 0.000  -0.06
W 0.000 0.000 0.000  1.14

Properties
VASP energy	-4.5114	eV per atom
magnetic moment	0.09	μB/atom

(2)
Here is a relaxed structure of Na3Pd3WSe8 from Alexandria. Energies are from GGA-PBE.

a = 7.662 Å, b = 7.681 Å, c = 8.174 Å
α = 118.09°, β = 90.00°, γ = 119.92°
Sites, in units of the cell vectors:
Se 0.261 0.032 0.304
Se 0.732 0.464 0.694
Se 0.739 0.968 0.696
Se 0.772 0.544 0.304
Se 0.229 0.968 0.696
Se 0.228 0.456 0.696
Se 0.771 0.032 0.304
Se 0.268 0.536 0.306
Pd 0.000 0.500 0.500
Pd 0.500 0.000 0.500
Pd 0.500 0.500 0.500
W 0.000 0.000 0.500
Na 0.000 0.000 0.000
Na 0.500 0.500 0.000
Na 0.000 0.500 0.000

Properties
VASP energy	-4.4841	eV per atom
magnetic moment	0.00	μB/atom

(3)
Here is a relaxed structure of Na2Zr2PdSe6 from Alexandria. Energies are from GGA-PBE.

a = 6.647 Å, b = 6.647 Å, c = 7.438 Å
α = 98.16°, β = 98.16°, γ = 119.59°
Sites, in units of the cell vectors:
Se 0.909 0.580 0.273
Se 0.091 0.420 0.727
Se 0.254 0.254 0.302
Se 0.580 0.909 0.273
Se 0.420 0.091 0.727
Se 0.746 0.746 0.698
Na 0.159 0.841 0.000
Na 0.841 0.159 0.000
Pd 0.000 0.000 0.500
Zr 0.321 0.679 0.500
Zr 0.679 0.321 0.500

Properties
VASP energy	-5.2184	eV per atom
magnetic moment	0.00	μB/atom

(4)
Here is a relaxed structure of Na4Zr3PdSe8 from Alexandria. Energies are from GGA-PBE.

a = 7.809 Å, b = 8.352 Å, c = 7.823 Å
α = 117.95°, β = 119.94°, γ = 90.00°
Sites, in units of the cell vectors:
Se 0.759 0.281 0.519
Se 0.761 0.282 0.021
Se 0.258 0.274 0.516
Se 0.241 0.719 0.481
Se 0.239 0.718 0.979
Se 0.261 0.282 0.021
Se 0.739 0.718 0.979
Se 0.742 0.726 0.484
Zr 0.000 0.500 0.500
Zr 0.500 0.500 0.000
Zr 0.500 0.500 0.500
Pd 0.000 0.500 0.000
Na 0.500 0.000 0.000
Na 0.000 0.000 0.500
Na 0.000 0.000 0.000
Na 0.500 0.000 0.500

Properties
VASP energy	-5.1372	eV per atom
magnetic moment	0.00	μB/atom

(5)
Here is a relaxed structure of NaSi2Pd4 from Alexandria. Energies are from GGA-PBE.

a = 4.087 Å, b = 6.212 Å, c = 17.311 Å
α = 90.00°, β = 90.00°, γ = 90.00°
Sites, in units of the cell vectors:
Si 0.250 0.947 0.789
Si 0.750 0.447 0.711
Si 0.750 0.253 0.460
Si 0.250 0.747 0.540
Si 0.250 0.753 0.040
Si 0.250 0.553 0.289
Si 0.750 0.247 0.960
Si 0.750 0.053 0.211
Pd 0.750 0.180 0.820
Pd 0.750 0.497 0.572
Pd 0.250 0.143 0.531
Pd 0.250 0.680 0.680
Pd 0.250 0.357 0.031
Pd 0.750 0.003 0.072
Pd 0.250 0.820 0.180
Pd 0.750 0.643 0.969
Pd 0.250 0.997 0.928
Pd 0.250 0.503 0.428
Pd 0.250 0.238 0.702
Pd 0.750 0.762 0.298
Pd 0.750 0.857 0.469
Pd 0.750 0.320 0.320
Pd 0.750 0.738 0.798
Pd 0.250 0.262 0.202
Na 0.750 0.518 0.138
Na 0.250 0.482 0.862
Na 0.750 0.982 0.638
Na 0.250 0.018 0.362

Properties
magnetic moment	0.00	μB/atom
relative energy among the computed polymorphs	0.000	eV/f.u.

(6)
Here is a relaxed structure of NaSi2Pd2 from Alexandria. Energies are from GGA-PBE.

a = 4.217 Å, b = 4.217 Å, c = 5.712 Å
α = 68.34°, β = 68.34°, γ = 90.00°
Sites, in units of the cell vectors:
Pd 0.750 0.250 0.500
Pd 0.250 0.750 0.500
Si 0.621 0.621 0.757
Si 0.379 0.379 0.243
Na 0.000 0.000 0.000

Properties
magnetic moment	0.00	μB/atom
relative energy among the computed polymorphs	0.000	eV/f.u.

(7)
Here is a relaxed structure of NaSi2Pd from Alexandria. Energies are from GGA-PBE.

a = 5.298 Å, b = 6.296 Å, c = 16.215 Å
α = 90.00°, β = 90.00°, γ = 90.00°
Sites, in units of the cell vectors:
Na 0.211 0.750 0.109
Na 0.468 0.250 0.147
Na 0.968 0.750 0.353
Na 0.289 0.750 0.609
Na 0.032 0.250 0.647
Na 0.711 0.250 0.391
Na 0.789 0.250 0.891
Na 0.532 0.750 0.853
Si 0.213 0.443 0.473
Si 0.449 0.938 0.282
Si 0.713 0.943 0.027
Si 0.213 0.057 0.473
Si 0.551 0.062 0.718
Si 0.787 0.943 0.527
Si 0.051 0.562 0.782
Si 0.551 0.438 0.718
Si 0.287 0.443 0.973
Si 0.787 0.557 0.527
Si 0.449 0.562 0.282
Si 0.051 0.938 0.782
Si 0.713 0.557 0.027
Si 0.949 0.438 0.218
Si 0.287 0.057 0.973
Si 0.949 0.062 0.218
Pd 0.015 0.750 0.927
Pd 0.205 0.250 0.333
Pd 0.705 0.750 0.167
Pd 0.795 0.750 0.667
Pd 0.485 0.750 0.427
Pd 0.985 0.250 0.073
Pd 0.295 0.250 0.833
Pd 0.515 0.250 0.573

Properties
VASP energy	-4.5501	eV per atom
magnetic moment	0.00	μB/atom

(8)
Here is a relaxed structure of NaSi2Pd from Alexandria. Energies are from GGA-PBE.

a = 4.118 Å, b = 4.109 Å, c = 6.030 Å
α = 70.53°, β = 70.03°, γ = 59.93°
Sites, in units of the cell vectors:
Na 0.500 0.000 0.000
Pd 0.000 0.500 0.500
Si 0.292 0.793 0.623
Si 0.708 0.207 0.377

Properties
VASP energy	-4.4980	eV per atom
magnetic moment	0.00	μB/atom

(9)
Here is a relaxed structure of NaSiPd2 from Alexandria. Energies are from GGA-PBE.

a = 7.148 Å, b = 7.148 Å, c = 5.833 Å
α = 52.21°, β = 52.21°, γ = 90.00°
Sites, in units of the cell vectors:
Na 0.500 0.500 0.000
Na 0.250 0.750 0.500
Si 0.750 0.250 0.500
Si 0.000 0.000 0.000
Pd 0.697 0.125 0.250
Pd 0.053 0.625 0.250
Pd 0.875 0.947 0.750
Pd 0.375 0.303 0.750

Properties
VASP energy	-4.5006	eV per atom
magnetic moment	0.00	μB/atom

(10)
Here is a relaxed structure of NaSi2Pd from Alexandria. Energies are from GGA-PBE.

a = 4.675 Å, b = 4.675 Å, c = 8.895 Å
α = 74.77°, β = 74.77°, γ = 90.00°
Sites, in units of the cell vectors:
Si 0.875 0.071 0.750
Si 0.821 0.125 0.250
Si 0.375 0.179 0.750
Si 0.929 0.625 0.250
Na 0.250 0.750 0.500
Na 0.500 0.500 0.000
Pd 0.750 0.250 0.500
Pd 0.000 0.000 0.000

Properties
VASP energy	-4.3274	eV per atom
magnetic moment	0.00	μB/atom

(11)
Here is a relaxed structure of Na2SiPd6 from Alexandria. Energies are from GGA-PBE.

a = 2.822 Å, b = 7.785 Å, c = 7.785 Å
α = 120.00°, β = 90.00°, γ = 90.00°
Sites, in units of the cell vectors:
Na 0.500 0.667 0.333
Na 0.500 0.333 0.667
Pd 0.763 0.309 0.309
Pd 0.237 0.000 0.309
Pd 0.763 0.000 0.691
Pd 0.237 0.309 0.000
Pd 0.237 0.691 0.691
Pd 0.763 0.691 0.000
Si 0.000 0.000 0.000

Properties
VASP energy	-4.4963	eV per atom
magnetic moment	0.00	μB/atom

(12)
Here is a relaxed structure of Na2Si3Pd9 from Alexandria. Energies are from GGA-PBE.

a = 7.479 Å, b = 7.479 Å, c = 10.080 Å
α = 89.33°, β = 112.37°, γ = 120.19°
Sites, in units of the cell vectors:
Si 0.159 0.831 0.498
Si 0.500 0.500 0.500
Si 0.500 0.000 0.000
Si 0.841 0.169 0.502
Si 0.168 0.339 0.998
Si 0.832 0.661 0.002
Pd 0.435 0.628 0.923
Pd 0.673 0.696 0.753
Pd 0.112 0.862 0.250
Pd 0.443 0.920 0.747
Pd 0.146 0.987 0.955
Pd 0.888 0.138 0.750
Pd 0.565 0.372 0.077
Pd 0.532 0.191 0.545
Pd 0.557 0.080 0.253
Pd 0.795 0.488 0.423
Pd 0.854 0.013 0.045
Pd 0.106 0.143 0.426
Pd 0.205 0.512 0.577
Pd 0.783 0.320 0.926
Pd 0.894 0.857 0.574
Pd 0.217 0.680 0.074
Pd 0.327 0.304 0.247
Pd 0.468 0.809 0.455
Na 0.994 0.583 0.750
Na 0.334 0.245 0.750
Na 0.006 0.417 0.250
Na 0.666 0.755 0.250

Properties
VASP energy	-5.2035	eV per atom
magnetic moment	0.00	μB/atom